Record 1
## TbSi2Au2 (PBEsol)

Data for a geometry-optimized TbSi2Au2 structure. Values from VASP.

```
&SYSTEM
  ibrav = 0, nat = 5, ntyp = 3
/
ATOMIC_SPECIES
Tb 158.93 Tb.upf
Si 28.09 Si.upf
Au 196.97 Au.upf
CELL_PARAMETERS angstrom
-2.1047 2.1047 5.0696
2.1047 -2.1047 5.0696
2.1047 2.1047 -5.0696
ATOMIC_POSITIONS crystal
Tb 0.0000 0.0000 0.0000
Si 0.3872 0.3872 0.0000
Si 0.6128 0.6128 0.0000
Au 0.2500 0.7500 0.5000
Au 0.7500 0.2500 0.5000
```

Summary:
Volume: 90 Å³ per cell
Uncorrected energy: -5.521 eV per atom
Magnetic moment: 0.00 μB/atom
Crystal system: tetragonal



Record 2
## V2OF5 (PBEsol)

Data for a geometry-optimized V2OF5 structure. Values from VASP.

```
&SYSTEM
  ibrav = 0, nat = 24, ntyp = 3
/
ATOMIC_SPECIES
V 50.94 V.upf
O 16.00 O.upf
F 19.00 F.upf
CELL_PARAMETERS angstrom
5.1960 0.0000 0.0000
-2.5980 4.4998 0.0000
0.0000 0.0000 13.1168
ATOMIC_POSITIONS crystal
V 0.0155 0.6931 0.4117
V 0.3069 0.3224 0.7451
V 0.3224 0.3069 0.2549
V 0.6776 0.9845 0.0784
V 0.6931 0.0155 0.5883
V 0.9845 0.6776 0.9216
O 0.0000 0.1193 0.6667
O 0.1193 0.0000 0.3333
O 0.8807 0.8807 0.0000
F 0.0000 0.2450 0.1667
F 0.0896 0.4249 0.8373
F 0.2450 0.0000 0.8333
F 0.2501 0.5739 0.3339
F 0.3238 0.7499 0.0006
F 0.3354 0.9104 0.5039
F 0.4249 0.0896 0.1627
F 0.4261 0.6762 0.6673
F 0.5739 0.2501 0.6661
F 0.5751 0.6646 0.1706
F 0.6646 0.5751 0.8294
F 0.6762 0.4261 0.3327
F 0.7499 0.3238 0.9994
F 0.7550 0.7550 0.5000
F 0.9104 0.3354 0.4961
```

Summary:
Distance to the lowest polymorph of the same formula: 0.0023 eV/atom
Volume: 307 Å³ per cell
Uncorrected energy: -7.085 eV per atom
Magnetic moment: 0.38 μB/atom
Crystal system: trigonal



Record 3
## LiNbTeN2 (PBEsol)

Data for a geometry-optimized LiNbTeN2 structure. Values from VASP.

```
&SYSTEM
  ibrav = 0, nat = 5, ntyp = 4
/
ATOMIC_SPECIES
Li 6.94 Li.upf
Nb 92.91 Nb.upf
Te 127.60 Te.upf
N 14.01 N.upf
CELL_PARAMETERS angstrom
3.8711 0.0000 0.0000
0.0000 3.8711 0.0000
0.0000 0.0000 4.4698
ATOMIC_POSITIONS crystal
Li 0.0000 0.0000 0.0000
Nb 0.5000 0.5000 0.5000
Te 0.0000 0.0000 0.5000
N 0.0000 0.5000 0.0000
N 0.5000 0.0000 0.0000
```

Summary:
Distance to the lowest polymorph of the same formula: 1.3844 eV/atom
Volume: 67 Å³ per cell
Uncorrected energy: -5.225 eV per atom
Magnetic moment: 0.00 μB/atom
Crystal system: tetragonal



Record 4
## SrCrCo2 (PBEsol)

Data for a geometry-optimized SrCrCo2 structure. Values from VASP.

```
&SYSTEM
  ibrav = 0, nat = 4, ntyp = 3
/
ATOMIC_SPECIES
Sr 87.62 Sr.upf
Cr 52.00 Cr.upf
Co 58.93 Co.upf
CELL_PARAMETERS angstrom
3.1963 0.0000 0.0000
0.0000 3.7369 0.0000
-1.1668 0.0000 5.8692
ATOMIC_POSITIONS crystal
Sr 0.0000 0.0000 0.0000
Cr 0.1868 0.5000 0.5430
Co 0.5890 0.0000 0.5217
Co 0.6092 0.5000 0.2981
```

Summary:
Calculated formation energy: 0.699 eV per atom
Distance to the lowest polymorph of the same formula: 0.0000 eV/atom
Volume: 70 Å³ per cell
Uncorrected energy: -6.190 eV per atom
Magnetic moment: 0.11 μB/atom
Crystal system: monoclinic



Record 5
## KFe2RuO (PBEsol)

Data for a geometry-optimized KFe2RuO structure. Values from VASP.

```
&SYSTEM
  ibrav = 0, nat = 5, ntyp = 4
/
ATOMIC_SPECIES
K 39.10 K.upf
Fe 55.84 Fe.upf
Ru 101.07 Ru.upf
O 16.00 O.upf
CELL_PARAMETERS angstrom
4.5778 0.0000 0.0000
0.0000 4.5778 0.0000
0.0000 0.0000 4.0633
ATOMIC_POSITIONS crystal
K 0.0000 0.0000 0.0000
Fe 0.0000 0.5000 0.0000
Fe 0.5000 0.0000 0.0000
Ru 0.5000 0.5000 0.5000
O 0.0000 0.0000 0.5000
```

Summary:
Volume: 85 Å³ per cell
Uncorrected energy: -4.550 eV per atom
Magnetic moment: 1.84 μB/atom
Crystal system: tetragonal



Record 6
## In2CS (PBEsol)

Data for a geometry-optimized In2CS structure. Values from VASP.

```
&SYSTEM
  ibrav = 0, nat = 4, ntyp = 3
/
ATOMIC_SPECIES
In 114.82 In.upf
C 12.01 C.upf
S 32.06 S.upf
CELL_PARAMETERS angstrom
0.0000 3.2350 3.2350
3.2350 0.0000 3.2350
3.2350 3.2350 0.0000
ATOMIC_POSITIONS crystal
In 0.2500 0.2500 0.2500
In 0.7500 0.7500 0.7500
C 0.0000 0.0000 0.0000
S 0.5000 0.5000 0.5000
```

Summary:
Volume: 68 Å³ per cell
Uncorrected energy: -3.858 eV per atom
Magnetic moment: 0.00 μB/atom
Crystal system: cubic



Record 7
## Li2CoRu (PBEsol)

Data for a geometry-optimized Li2CoRu structure. Values from VASP.

```
&SYSTEM
  ibrav = 0, nat = 4, ntyp = 3
/
ATOMIC_SPECIES
Li 6.94 Li.upf
Co 58.93 Co.upf
Ru 101.07 Ru.upf
CELL_PARAMETERS angstrom
-1.7032 1.7032 4.2256
1.7032 -1.7032 4.2256
1.7032 1.7032 -4.2256
ATOMIC_POSITIONS crystal
Li 0.2500 0.7500 0.5000
Li 0.7500 0.2500 0.5000
Co 0.0000 0.0000 0.0000
Ru 0.5000 0.5000 0.0000
```

Summary:
Calculated formation energy: 0.315 eV per atom
Distance to the lowest polymorph of the same formula: 0.0753 eV/atom
Volume: 49 Å³ per cell
Uncorrected energy: -5.145 eV per atom
Magnetic moment: 0.61 μB/atom
Crystal system: tetragonal



Record 8
## AuCS2 (PBEsol)

Data for a geometry-optimized AuCS2 structure. Values from VASP.

```
&SYSTEM
  ibrav = 0, nat = 4, ntyp = 3
/
ATOMIC_SPECIES
Au 196.97 Au.upf
C 12.01 C.upf
S 32.06 S.upf
CELL_PARAMETERS angstrom
2.0046 1.1574 5.7612
-2.0046 1.1574 5.7612
0.0000 -2.3147 5.7612
ATOMIC_POSITIONS crystal
Au 0.0000 0.0000 0.0000
C 0.5000 0.5000 0.5000
S 0.4087 0.4087 0.4087
S 0.5913 0.5913 0.5913
```

Summary:
Volume: 80 Å³ per cell
Uncorrected energy: -4.997 eV per atom
Magnetic moment: 0.00 μB/atom
Crystal system: trigonal



Record 9
## ErSbMo2O9 (PBEsol)

Data for a geometry-optimized ErSbMo2O9 structure. Values from VASP.

```
&SYSTEM
  ibrav = 0, nat = 52, ntyp = 4
/
ATOMIC_SPECIES
Er 167.26 Er.upf
Sb 121.76 Sb.upf
Mo 95.94 Mo.upf
O 16.00 O.upf
CELL_PARAMETERS angstrom
6.3998 -6.9808 0.0000
6.3998 6.9808 0.0000
-5.9628 0.0000 8.7865
ATOMIC_POSITIONS crystal
Er 0.1259 0.8741 0.7500
Er 0.3298 0.6702 0.2500
Er 0.6702 0.3298 0.7500
Er 0.8741 0.1259 0.2500
Sb 0.3434 0.3829 0.4650
Sb 0.3829 0.3434 0.9650
Sb 0.6171 0.6566 0.0350
Sb 0.6566 0.6171 0.5350
Mo 0.0470 0.2604 0.0279
Mo 0.0559 0.4352 0.6947
Mo 0.2604 0.0470 0.5279
Mo 0.4352 0.0559 0.1947
Mo 0.5648 0.9441 0.8053
Mo 0.7396 0.9530 0.4721
Mo 0.9441 0.5648 0.3053
Mo 0.9530 0.7396 0.9721
O 0.0276 0.6943 0.4990
O 0.0457 0.2218 0.1779
O 0.0683 0.0943 0.8997
O 0.0943 0.0683 0.3997
O 0.0942 0.5497 0.2457
O 0.1322 0.7036 0.0685
O 0.1461 0.6222 0.7291
O 0.2058 0.3608 0.7961
O 0.2218 0.0457 0.6779
O 0.2234 0.4048 0.0780
O 0.2964 0.8678 0.4315
O 0.3057 0.9724 0.0010
O 0.3608 0.2058 0.2961
O 0.3778 0.8539 0.7709
O 0.4048 0.2234 0.5780
O 0.4221 0.5399 0.3969
O 0.4503 0.9058 0.2543
O 0.4601 0.5779 0.1031
O 0.5399 0.4221 0.8969
O 0.5497 0.0942 0.7457
O 0.5779 0.4601 0.6031
O 0.5952 0.7766 0.4220
O 0.6222 0.1461 0.2291
O 0.6392 0.7942 0.7039
O 0.6943 0.0276 0.9990
O 0.7036 0.1322 0.5685
O 0.7766 0.5952 0.9220
O 0.7782 0.9543 0.3221
O 0.7942 0.6392 0.2039
O 0.8539 0.3778 0.2709
O 0.8678 0.2964 0.9315
O 0.9058 0.4503 0.7543
O 0.9057 0.9317 0.6003
O 0.9317 0.9057 0.1003
O 0.9543 0.7782 0.8221
O 0.9724 0.3057 0.5010
```

Summary:
Volume: 785 Å³ per cell
Uncorrected energy: -8.412 eV per atom
Magnetic moment: 0.00 μB/atom
Crystal system: monoclinic



Record 10
## IrRuPb (PBEsol)

Data for a geometry-optimized IrRuPb structure. Values from VASP.

```
&SYSTEM
  ibrav = 0, nat = 3, ntyp = 3
/
ATOMIC_SPECIES
Ir 192.22 Ir.upf
Ru 101.07 Ru.upf
Pb 207.20 Pb.upf
CELL_PARAMETERS angstrom
0.0000 3.0726 3.0726
3.0726 0.0000 3.0726
3.0726 3.0726 0.0000
ATOMIC_POSITIONS crystal
Ir 0.0000 0.0000 0.0000
Ru 0.5000 0.5000 0.5000
Pb 0.2500 0.2500 0.2500
```

Summary:
Calculated formation energy: 1.130 eV per atom
Volume: 58 Å³ per cell
Uncorrected energy: -6.868 eV per atom
Magnetic moment: 0.34 μB/atom
Crystal system: cubic



Record 11
## YFe2Ru (PBEsol)

Data for a geometry-optimized YFe2Ru structure. Values from VASP.

```
&SYSTEM
  ibrav = 0, nat = 4, ntyp = 3
/
ATOMIC_SPECIES
Y 88.91 Y.upf
Fe 55.84 Fe.upf
Ru 101.07 Ru.upf
CELL_PARAMETERS angstrom
-1.8982 1.8982 4.2744
1.8982 -1.8982 4.2744
1.8982 1.8982 -4.2744
ATOMIC_POSITIONS crystal
Y 0.0000 0.0000 0.0000
Fe 0.2500 0.7500 0.5000
Fe 0.7500 0.2500 0.5000
Ru 0.5000 0.5000 0.0000
```

Summary:
Calculated formation energy: 0.358 eV per atom
Volume: 62 Å³ per cell
Uncorrected energy: -8.373 eV per atom
Magnetic moment: 1.52 μB/atom
Crystal system: tetragonal



Record 12
## Si3WC (PBEsol)

Data for a geometry-optimized Si3WC structure. Values from VASP.

```
&SYSTEM
  ibrav = 0, nat = 5, ntyp = 3
/
ATOMIC_SPECIES
Si 28.09 Si.upf
W 183.84 W.upf
C 12.01 C.upf
CELL_PARAMETERS angstrom
3.9443 0.0000 0.0000
0.0000 3.9443 0.0000
0.0000 0.0000 3.9443
ATOMIC_POSITIONS crystal
Si 0.0000 0.0000 0.5000
Si 0.0000 0.5000 0.0000
Si 0.5000 0.0000 0.0000
W 0.5000 0.5000 0.5000
C 0.0000 0.0000 0.0000
```

Summary:
Volume: 61 Å³ per cell
Uncorrected energy: -7.259 eV per atom
Magnetic moment: 0.00 μB/atom
Crystal system: cubic



Record 13
## Li2TcW (PBEsol)

Data for a geometry-optimized Li2TcW structure. Values from VASP.

```
&SYSTEM
  ibrav = 0, nat = 4, ntyp = 3
/
ATOMIC_SPECIES
Li 6.94 Li.upf
Tc 98.00 Tc.upf
W 183.84 W.upf
CELL_PARAMETERS angstrom
3.1023 0.0000 0.0000
0.0000 3.1023 0.0000
0.0000 0.0000 6.3248
ATOMIC_POSITIONS crystal
Li 0.0000 0.0000 0.0000
Li 0.5000 0.5000 0.2519
Tc 0.0000 0.0000 0.5226
W 0.5000 0.5000 0.7181
```

Summary:
Calculated formation energy: 0.373 eV per atom
Distance to the lowest polymorph of the same formula: 0.0315 eV/atom
Volume: 61 Å³ per cell
Uncorrected energy: -6.879 eV per atom
Magnetic moment: 0.00 μB/atom
Crystal system: tetragonal